YMgZn2: optimized geometry, PBE.

The space group is Pnma (No. 62) and the conventional cell measures 7.375, 6.790 and 6.716 Å, with angles of 90.00, 90.00 and 90.00 degrees. The asymmetric unit holds Y at (0.007, 0.250, 0.197), Mg at (0.085, 0.750, 0.301) and Zn at (0.209, 0.042, 0.536).

The total DFT energy (no corrections) comes out at -2.860 eV/atom. Its calculated volume is 21.02 A^3/atom. Its total magnetization is 0.00 μB per formula unit.